1.
KFe2Hg | GGA-PBE | relaxed

Results
* VASP energy: -0.1381 hartree per atom
* calculated volume: 26.79 Å³/atom
* symmetry: No. 141

Cell lengths 4.721, 4.721, 10.180 Å; angles 76.59, 76.59, 90.00 degrees
Element x y z (fractional)
K 0.500 0.500 0.000
K 0.250 0.750 0.500
Hg 0.000 0.000 0.000
Hg 0.750 0.250 0.500
Fe 0.876 0.125 0.250
Fe 0.874 0.625 0.250
Fe 0.375 0.124 0.750
Fe 0.875 0.126 0.750

2.
La3H3Pb | GGA-PBE | relaxed

Results
* offset from the most stable computed form: 0.000 eV per formula unit
* VASP energy: -0.1700 hartree per atom
* calculated volume: 21.35 Å³/atom
* symmetry: No. 223

Cell lengths 6.686, 6.686, 6.686 Å; angles 90.00, 90.00, 90.00 degrees
Element x y z (fractional)
Pb 0.500 0.500 0.500
Pb 0.000 0.000 0.000
H 0.250 0.000 0.500
H 0.000 0.500 0.250
H 0.500 0.750 0.000
H 0.750 0.000 0.500
H 0.000 0.500 0.750
H 0.500 0.250 0.000
La 0.000 0.250 0.500
La 0.000 0.750 0.500
La 0.500 0.000 0.750
La 0.750 0.500 0.000
La 0.500 0.000 0.250
La 0.250 0.500 0.000

3.
RbS2 | GGA-PBE | relaxed

Results
* offset from the most stable computed form: 0.000 eV per formula unit
* VASP energy: -0.1367 hartree per atom
* calculated volume: 35.12 Å³/atom
* symmetry: No. 2
* formation energy from raw total energies: -1.940 eV/f.u.

Cell lengths 9.794, 5.803, 6.807 Å; angles 114.97, 136.04, 90.64 degrees
Element x y z (fractional)
Rb 0.117 0.219 0.804
Rb 0.606 0.226 0.807
S 0.085 0.181 0.254
S 0.637 0.263 0.357
S 0.219 0.626 0.519
S 0.504 0.819 0.092

4.
Ga2GeW | GGA-PBE | relaxed

Results
* VASP energy: -0.1946 hartree per atom
* calculated volume: 17.97 Å³/atom
* symmetry: No. 122

Cell lengths 7.439, 7.439, 5.866 Å; angles 50.65, 50.65, 90.00 degrees
Element x y z (fractional)
Ge 0.500 0.500 0.000
Ge 0.250 0.750 0.500
Ga 0.638 0.125 0.250
Ga 0.112 0.625 0.250
Ga 0.375 0.362 0.750
Ga 0.875 0.888 0.750
W 0.000 0.000 0.000
W 0.750 0.250 0.500

5.
Ba4Na3Ag2 | GGA-PBE | relaxed

Results
* VASP energy: -0.0736 hartree per atom
* calculated volume: 42.61 Å³/atom
* symmetry: No. 12

Cell lengths 5.263, 8.050, 9.856 Å; angles 106.98, 105.48, 90.00 degrees
Element x y z (fractional)
Ba 0.226 0.701 0.452
Ba 0.774 0.299 0.548
Ba 0.564 0.828 0.129
Ba 0.436 0.172 0.871
Na 0.103 0.208 0.206
Na 0.897 0.792 0.794
Na 0.000 0.500 0.000
Ag 0.383 0.551 0.766
Ag 0.617 0.449 0.234

6.
CdPtCl | GGA-PBE | relaxed

Results
* offset from the most stable computed form: 0.000 eV per formula unit
* VASP energy: -0.1107 hartree per atom
* calculated volume: 19.70 Å³/atom
* symmetry: No. 156
* formation energy from raw total energies: -0.232 eV/f.u.

Cell lengths 3.281, 3.281, 6.340 Å; angles 90.00, 90.00, 120.00 degrees
Element x y z (fractional)
Cl 0.667 0.333 0.309
Pt 0.333 0.667 0.688
Cd 0.000 0.000 0.003

7.
Nd12Y3Cd | GGA-PBE | relaxed

Results
* VASP energy: -0.1785 hartree per atom
* calculated volume: 33.70 Å³/atom
* symmetry: No. 123

Cell lengths 5.108, 5.108, 20.664 Å; angles 90.00, 90.00, 90.00 degrees
Element x y z (fractional)
Nd 0.500 0.500 0.000
Nd 0.500 0.500 0.246
Nd 0.500 0.500 0.500
Nd 0.500 0.500 0.754
Nd 0.500 0.000 0.121
Nd 0.500 0.000 0.374
Nd 0.500 0.000 0.626
Nd 0.500 0.000 0.879
Nd 0.000 0.500 0.121
Nd 0.000 0.500 0.374
Nd 0.000 0.500 0.626
Nd 0.000 0.500 0.879
Y 0.000 0.000 0.247
Y 0.000 0.000 0.500
Y 0.000 0.000 0.753
Cd 0.000 0.000 0.000

8.
NaInP2O7 | GGA-PBE | relaxed

Results
* VASP energy: -0.2443 hartree per atom
* calculated volume: 13.30 Å³/atom
* symmetry: No. 14
* formation energy from raw total energies: -23.539 eV/f.u.

Cell lengths 8.363, 7.586, 9.944 Å; angles 68.06, 90.00, 90.00 degrees
Element x y z (fractional)
Na 0.527 0.285 0.715
Na 0.973 0.285 0.215
Na 0.027 0.715 0.785
Na 0.473 0.715 0.285
In 0.496 0.745 0.752
In 0.996 0.255 0.748
In 0.504 0.255 0.248
In 0.004 0.745 0.252
P 0.285 0.327 0.949
P 0.754 0.074 0.040
P 0.254 0.926 0.460
P 0.246 0.926 0.960
P 0.746 0.074 0.540
P 0.715 0.673 0.051
P 0.785 0.673 0.551
P 0.215 0.327 0.449
O 0.112 0.374 0.893
O 0.591 0.030 0.630
O 0.091 0.970 0.870
O 0.409 0.970 0.370
O 0.909 0.030 0.130
O 0.835 0.872 0.568
O 0.335 0.128 0.932
O 0.165 0.128 0.432
O 0.634 0.184 0.092
O 0.134 0.816 0.408
O 0.366 0.816 0.908
O 0.866 0.184 0.592
O 0.781 0.173 0.877
O 0.281 0.827 0.623
O 0.219 0.827 0.123
O 0.719 0.173 0.377
O 0.792 0.697 0.391
O 0.292 0.303 0.109
O 0.208 0.303 0.609
O 0.410 0.458 0.850
O 0.888 0.626 0.107
O 0.388 0.374 0.393
O 0.708 0.697 0.891
O 0.612 0.626 0.607
O 0.090 0.458 0.350
O 0.590 0.542 0.150
O 0.910 0.542 0.650
O 0.665 0.872 0.068

9.
BeTe2RuN | GGA-PBE | relaxed

Results
* offset from the most stable computed form: 0.000 eV per formula unit
* VASP energy: -0.1813 hartree per atom
* calculated volume: 16.36 Å³/atom
* symmetry: No. 123
* formation energy from raw total energies: 2.943 eV/f.u.

Cell lengths 5.164, 5.164, 3.068 Å; angles 90.00, 90.00, 90.00 degrees
Element x y z (fractional)
Ru 0.500 0.500 0.500
Te 0.000 0.500 0.000
Te 0.500 0.000 0.000
Be 0.000 0.000 0.000
N 0.000 0.000 0.500

10.
Ba2MnBr | GGA-PBE | relaxed

Results
* offset from the most stable computed form: 0.327 eV per formula unit
* VASP energy: -0.1471 hartree per atom
* calculated volume: 39.63 Å³/atom
* symmetry: No. 44
* formation energy from raw total energies: -1.319 eV/f.u.

Cell lengths 9.490, 9.490, 9.490 Å; angles 154.78, 154.16, 36.42 degrees
Element x y z (fractional)
Ba 0.944 0.944 0.000
Ba 0.708 0.208 0.500
Br 0.545 0.545 0.000
Mn 0.303 0.803 0.500

11.
MnNbGeHI | GGA-PBE | relaxed

Results
* offset from the most stable computed form: 0.384 eV per formula unit
* VASP energy: -0.2089 hartree per atom
* calculated volume: 17.31 Å³/atom
* symmetry: No. 6

Cell lengths 3.488, 3.725, 6.814 Å; angles 102.22, 90.00, 90.00 degrees
Element x y z (fractional)
Mn 0.478 0.127 0.919
Nb 0.978 0.255 0.245
Ge 0.978 0.654 0.958
H 0.478 0.389 0.163
I 0.478 0.929 0.506

12.
Pm12Tc3H5 | GGA-PBE | relaxed

Results
* VASP energy: -0.1972 hartree per atom
* calculated volume: 23.39 Å³/atom
* symmetry: No. 230

Cell lengths 13.446, 13.446, 13.446 Å; angles 109.47, 109.47, 109.47 degrees
Element x y z (fractional)
H 0.125 0.375 0.250
H 0.000 0.500 0.000
H 0.000 0.000 0.000
H 0.375 0.250 0.125
H 0.500 0.000 0.500
H 0.500 0.500 0.000
H 0.125 0.750 0.375
H 0.750 0.125 0.875
H 0.750 0.625 0.375
H 0.375 0.125 0.750
H 0.625 0.875 0.250
H 0.500 0.500 0.500
H 0.500 0.000 0.000
H 0.000 0.000 0.500
H 0.250 0.375 0.625
H 0.250 0.875 0.125
H 0.000 0.500 0.500
H 0.875 0.250 0.625
H 0.625 0.750 0.875
H 0.875 0.625 0.750
Tc 0.750 0.375 0.125
Tc 0.875 0.750 0.125
Tc 0.375 0.750 0.625
Tc 0.250 0.125 0.375
Tc 0.875 0.125 0.250
Tc 0.375 0.625 0.250
Tc 0.625 0.375 0.750
Tc 0.125 0.875 0.750
Tc 0.750 0.875 0.625
Tc 0.625 0.250 0.375
Tc 0.125 0.250 0.875
Tc 0.250 0.625 0.875
Pm 0.718 0.123 0.030
Pm 0.313 0.530 0.407
Pm 0.970 0.377 0.282
Pm 0.530 0.218 0.123
Pm 0.595 0.718 0.687
Pm 0.970 0.593 0.187
Pm 0.313 0.782 0.405
Pm 0.093 0.905 0.123
Pm 0.593 0.970 0.687
Pm 0.718 0.595 0.187
Pm 0.782 0.470 0.377
Pm 0.813 0.907 0.030
Pm 0.123 0.718 0.530
Pm 0.377 0.407 0.095
Pm 0.095 0.907 0.377
Pm 0.405 0.123 0.593
Pm 0.095 0.187 0.218
Pm 0.470 0.687 0.093
Pm 0.813 0.905 0.282
Pm 0.123 0.405 0.093
Pm 0.377 0.970 0.782
Pm 0.593 0.623 0.405
Pm 0.907 0.813 0.530
Pm 0.782 0.313 0.905
Pm 0.407 0.377 0.595
Pm 0.093 0.187 0.470
Pm 0.218 0.687 0.095
Pm 0.187 0.095 0.718
Pm 0.623 0.030 0.218
Pm 0.877 0.595 0.907
Pm 0.530 0.313 0.907
Pm 0.595 0.877 0.407
Pm 0.905 0.813 0.782
Pm 0.905 0.093 0.623
Pm 0.877 0.282 0.470
Pm 0.187 0.093 0.970
Pm 0.623 0.593 0.905
Pm 0.407 0.030 0.313
Pm 0.282 0.405 0.813
Pm 0.218 0.530 0.623
Pm 0.907 0.095 0.877
Pm 0.687 0.218 0.595
Pm 0.470 0.782 0.877
Pm 0.030 0.407 0.813
Pm 0.405 0.282 0.313
Pm 0.030 0.623 0.718
Pm 0.687 0.470 0.593
Pm 0.282 0.877 0.970